Ge2AuBr | Alexandria via LeMat-Bulk | PBE | relaxed; formation energy without anion corrections = -0.104 eV per atom; E above lowest polymorph = 0.000 eV per atom; uncorrected energy = -43.798 eV for the cell shown; Fermi-level density of states = 1.85 states/eV per cell
1.0
4.326 0.000 0.000
-2.163 3.747 0.000
0.000 0.000 20.913
Ge Au Br
6 3 3
Cartesian
0.000 0.000 2.612
0.000 0.000 18.300
0.000 2.498 11.329
0.000 2.498 16.554
2.163 1.249 4.359
2.163 1.249 9.583
0.000 0.000 10.456
0.000 2.498 3.485
2.163 1.249 17.427
0.000 0.000 0.000
0.000 2.498 13.942
2.163 1.249 6.971

***

CaSeBr2 | Alexandria via LeMat-Bulk | PBE | relaxed; formation energy without anion corrections = -0.174 eV per atom; E above lowest polymorph = 1.062 eV per atom; uncorrected energy = -28.579 eV for the cell shown; Fermi-level density of states = 5.21 states/eV per cell
1.0
4.581 0.000 0.000
-2.290 3.967 0.000
0.000 0.000 30.662
Ca Se Br
3 3 6
Cartesian
0.000 0.000 0.000
0.000 2.645 20.441
2.290 1.322 10.221
0.000 0.000 15.331
0.000 2.645 5.110
2.290 1.322 25.552
0.000 0.000 2.617
0.000 0.000 28.045
0.000 2.645 17.824
0.000 2.645 23.058
2.290 1.322 7.604
2.290 1.322 12.838

***

Y3PaO7 | Alexandria via LeMat-Bulk | PBE | relaxed; formation energy without anion corrections = -3.553 eV per atom; uncorrected energy = -205.348 eV for the cell shown; Fermi-level density of states = 0.00 states/eV per cell
1.0
3.825 -5.436 0.000
3.825 5.436 0.000
0.000 0.000 7.739
Y Pa O
6 2 14
Cartesian
0.006 0.000 0.000
2.055 2.588 1.936
5.594 2.588 1.933
2.055 -2.588 5.803
5.594 -2.588 5.806
7.644 0.000 3.869
3.824 0.000 0.000
3.825 0.000 3.869
3.825 3.991 1.935
3.825 3.970 5.804
2.197 1.366 7.502
2.201 1.367 4.109
3.825 1.069 1.935
2.197 -1.366 0.236
2.201 -1.367 3.629
5.448 1.367 7.499
5.452 1.366 4.106
3.825 -1.069 5.804
5.448 -1.367 0.240
5.452 -1.366 3.633
3.825 -3.970 1.935
3.825 -3.991 5.804

***

Sm4NiTe3 | Alexandria via LeMat-Bulk | PBE | relaxed; formation energy without anion corrections = -1.095 eV per atom; uncorrected energy = -85.688 eV for the cell shown; Fermi-level density of states = 11.00 states/eV per cell
1.0
8.995 0.000 0.000
0.000 12.433 0.000
0.000 0.000 4.231
Sm Ni Te
8 2 6
Cartesian
0.000 2.943 0.000
0.000 9.490 0.000
1.899 0.000 2.115
2.598 6.217 2.115
4.497 3.273 0.000
4.497 9.160 0.000
6.396 6.217 2.115
7.095 0.000 2.115
0.000 0.000 0.000
4.497 6.217 0.000
0.000 6.217 0.000
2.249 3.108 2.115
2.249 9.325 2.115
4.497 0.000 0.000
6.746 3.108 2.115
6.746 9.325 2.115

***

Y2MgAlH | Alexandria via LeMat-Bulk | PBE | relaxed; E above lowest polymorph = 0.000 eV per atom; uncorrected energy = -23.099 eV for the cell shown; Fermi-level density of states = 2.88 states/eV per cell
1.0
4.879 0.000 0.000
0.000 4.879 0.000
0.000 0.000 4.184
Y Mg Al H
2 1 1 1
Cartesian
0.000 2.440 0.000
2.440 0.000 0.000
0.000 0.000 2.092
2.440 2.440 2.092
0.000 0.000 0.000

***

TmCu4Pd | Alexandria via LeMat-Bulk | PBE | relaxed; uncorrected energy = -28.246 eV for the cell shown; Fermi-level density of states = 4.82 states/eV per cell
1.0
0.000 3.518 3.518
3.518 0.000 3.518
3.518 3.518 0.000
Tm Cu Pd
1 4 1
Cartesian
0.000 0.000 0.000
4.394 2.643 2.643
2.643 4.394 2.643
2.643 2.643 4.394
4.394 4.394 4.394
1.759 1.759 1.759

***

TiNbReMo2 | Alexandria via LeMat-Bulk | PBE | relaxed; uncorrected energy = -102.400 eV for the cell shown; Fermi-level density of states = 9.33 states/eV per cell
1.0
1.569 -8.450 0.000
1.569 8.450 0.000
0.000 0.000 6.462
Ti Nb Re Mo
2 2 2 4
Cartesian
1.569 6.548 4.846
1.569 -6.548 1.615
1.569 0.000 0.000
1.569 0.000 3.231
1.569 6.977 1.615
1.569 -6.977 4.846
1.569 3.211 3.542
1.569 3.211 6.150
1.569 -3.211 0.312
1.569 -3.211 2.919

***

Ac2AgSnS6 | Alexandria via LeMat-Bulk | PBE | relaxed; formation energy without anion corrections = -1.174 eV per atom; uncorrected energy = -103.154 eV for the cell shown; Fermi-level density of states = 10.26 states/eV per cell
1.0
6.694 0.000 0.000
0.000 7.742 0.000
-6.548 0.000 9.522
Ac Ag Sn S
4 2 2 12
Cartesian
-0.248 0.836 2.405
-3.522 3.035 7.166
3.668 4.707 2.356
0.394 6.906 7.117
-3.274 0.000 4.761
0.000 3.871 0.000
3.347 0.000 0.000
0.073 3.871 4.761
-5.307 1.288 9.050
-2.033 2.583 4.289
-4.389 5.331 9.034
-1.115 6.282 4.273
-2.418 0.238 7.098
0.856 3.633 2.337
-0.710 4.109 7.185
2.564 7.504 2.424
1.261 1.460 5.249
4.535 2.411 0.488
2.179 5.159 5.233
5.453 6.455 0.472

***

DySi4Ni12 | Alexandria via LeMat-Bulk | PBE | relaxed; formation energy without anion corrections = -0.045 eV per atom; uncorrected energy = -96.431 eV for the cell shown; Fermi-level density of states = 6.19 states/eV per cell
1.0
-3.878 3.878 3.878
3.878 -3.878 3.878
3.878 3.878 -3.878
Dy Si Ni
1 4 12
Cartesian
0.000 0.000 0.000
1.939 1.939 -1.939
1.939 -1.939 1.939
-1.939 1.939 1.939
1.939 1.939 1.939
2.716 1.233 0.000
5.040 1.233 0.000
3.878 -1.162 2.644
2.644 3.878 -1.162
1.233 0.000 2.716
3.878 1.162 2.644
0.000 2.716 1.233
2.644 3.878 1.162
1.233 0.000 5.040
0.000 5.040 1.233
-1.162 2.644 3.878
1.162 2.644 3.878

***

PrHgPd | Alexandria via LeMat-Bulk | PBE | relaxed; E above lowest polymorph = 0.106 eV per atom; uncorrected energy = -24.016 eV for the cell shown; Fermi-level density of states = 3.27 states/eV per cell
1.0
3.851 0.000 0.000
0.000 3.851 0.000
0.000 0.000 9.559
Pr Hg Pd
2 2 2
Cartesian
0.000 0.000 0.000
1.926 1.926 4.780
0.000 0.000 6.483
1.926 1.926 1.703
0.000 0.000 3.260
1.926 1.926 8.040

***

LiMn2Ni | Alexandria via LeMat-Bulk | PBE | relaxed; uncorrected energy = -95.663 eV for the cell shown; Fermi-level density of states = 15.62 states/eV per cell
1.0
6.647 0.000 0.000
0.000 6.647 0.000
0.000 0.000 5.140
Li Mn Ni
4 8 4
Cartesian
0.000 0.000 0.000
0.000 3.323 1.285
3.323 0.000 3.855
3.323 3.323 2.570
1.565 1.662 3.213
1.662 4.888 4.498
1.662 5.082 1.928
1.759 1.662 0.643
4.888 4.985 0.643
4.985 1.565 1.928
4.985 1.759 4.498
5.082 4.985 3.213
0.000 0.000 2.570
0.000 3.323 3.855
3.323 0.000 1.285
3.323 3.323 0.000

***

ScAg2 | Alexandria via LeMat-Bulk | PBE | relaxed; E above lowest polymorph = 0.107 eV per atom; uncorrected energy = -50.369 eV for the cell shown; Fermi-level density of states = 9.44 states/eV per cell
1.0
5.833 0.000 0.000
0.000 4.788 0.000
0.000 0.000 8.329
Sc Ag
4 8
Cartesian
1.284 1.197 0.701
1.632 3.591 4.866
4.201 1.197 3.463
4.548 3.591 7.628
0.050 1.197 6.222
1.304 1.197 3.484
1.612 3.591 7.648
2.866 3.591 2.058
2.967 1.197 6.271
4.220 1.197 0.681
4.529 3.591 4.845
5.782 3.591 2.107